Record 1
Here is an optimized crystal structure of HfTlHg2 from the Alexandria database. Energies are from GGA-PBE.

```
HfTlHg2
1.0
-0.7181 -1.7858 -4.1108
0.0610 -4.0708 1.7578
-4.3783 0.2229 0.6680
Tl Hf Hg
1 1 2
Direct
0.5000 0.0000 0.0000
0.5000 0.5000 0.5000
0.0000 0.0000 0.5000
0.0000 0.5000 0.0000
```

Properties
For the total magnetization, the calculation gives 0.00 μB/cell. The total energy is -3.13 eV/atom. For the energy of formation from the pure elements, the calculation gives 105 meV/atom. The crystal system is tetragonal.

=====

Record 2
Here is an optimized crystal structure of PaTiNi2P2 from the Alexandria database. Energies are from GGA-PBE.

```
PaTiNi2P2
1.0
-0.2347 -2.2824 3.0427
-1.5248 -1.0866 -3.3191
6.2024 -3.0884 -1.8384
Pa Ti Ni P
1 1 2 2
Direct
0.0000 0.0000 0.0000
0.0000 0.0000 0.5000
0.6667 0.3333 0.2740
0.3333 0.6667 0.7260
0.6667 0.3333 0.7286
0.3333 0.6667 0.2714
```

Properties
For the total magnetization, the calculation gives 0.00 μB/cell. The total energy is -7.62 eV/atom. For the energy of formation from the pure elements, the calculation gives -987 meV/atom. The crystal system is trigonal.

=====

Record 3
Here is an optimized crystal structure of LiMn2W2 from the Alexandria database. Energies are from GGA-PBE.

```
LiMn2W2
1.0
-3.3717 -0.1511 1.8562
1.8595 -0.4845 3.3383
-0.6077 5.2101 3.3168
Mn W Li
2 2 1
Direct
0.7500 0.2500 0.5000
0.2500 0.7500 0.5000
0.3755 0.3755 0.2489
0.6245 0.6245 0.7511
0.0000 0.0000 0.0000
```

Properties
For the total magnetization, the calculation gives 1.04 μB/cell. The total energy is -8.42 eV/atom. For the energy of formation from the pure elements, the calculation gives 812 meV/atom. The crystal system is tetragonal.

=====

Record 4
Here is an optimized crystal structure of Be2AgRu from the Alexandria database. Energies are from GGA-PBE.

```
Be2AgRu
1.0
3.9836 -0.0120 0.0106
2.9402 2.6878 0.0106
1.0989 0.4247 4.6908
Ru Ag Be
1 1 2
Direct
0.2500 0.2500 0.2500
0.7500 0.7500 0.7500
0.9919 0.9919 0.0581
0.5081 0.5081 0.4419
```

Properties
For the total magnetization, the calculation gives 0.00 μB/cell. The total energy is -4.75 eV/atom. For the energy of formation from the pure elements, the calculation gives 150 meV/atom. The crystal system is monoclinic.

=====

Record 5
Here is an optimized crystal structure of HfMg2NbN4 from the Alexandria database. Energies are from GGA-PBE.

```
HfMg2NbN4
1.0
-2.1004 1.9281 -1.2967
-2.7657 0.1389 4.6864
3.7049 4.0192 -0.0248
Hf Mg Nb N
1 2 1 4
Direct
0.5000 0.5000 0.0000
0.5000 0.0000 0.5000
0.0000 0.5000 0.5000
0.0000 0.0000 0.0000
0.5000 0.2462 0.2428
0.5000 0.7538 0.7572
0.0000 0.2501 0.7602
0.0000 0.7499 0.2398
```

Properties
For the total magnetization, the calculation gives 0.00 μB/cell. The total energy is -8.28 eV/atom. For the energy relative to the elements, uncorrected, the calculation gives -1.2119 eV/atom. The crystal system is monoclinic.

=====

Record 6
Here is an optimized crystal structure of Ba6Ac from the Alexandria database. Energies are from GGA-PBE.

```
Ba6Ac
1.0
-1.9692 0.7443 -7.8464
-6.7327 -1.2298 4.3768
3.6696 6.7930 2.5272
Ba Ac
6 1
Direct
0.2500 0.7500 0.5000
0.5000 0.7500 0.2500
0.2500 0.5000 0.7500
0.7500 0.2500 0.5000
0.5000 0.2500 0.7500
0.7500 0.5000 0.2500
0.0000 0.0000 0.0000
```

Properties
For the total magnetization, the calculation gives 0.00 μB/cell. The total energy is -1.35 eV/atom. For the energy of formation from the pure elements, the calculation gives 886 meV/atom. The crystal system is cubic.

=====

Record 7
Here is an optimized crystal structure of TaTeCl3 from the Alexandria database. Energies are from GGA-PBE.

```
TaTeCl3
1.0
-2.7090 -3.9334 -1.1513
1.2755 -2.1207 4.2441
-3.8950 2.0413 2.1905
Cl Te Ta
3 1 1
Direct
0.0000 0.5000 0.0000
0.0000 0.0000 0.5000
0.5000 0.0000 0.0000
0.5000 0.5000 0.5000
0.0000 0.0000 0.0000
```

Properties
For the total magnetization, the calculation gives 0.00 μB/cell. The total energy is -4.19 eV/atom. For the energy relative to the elements, uncorrected, the calculation gives -0.0858 eV/atom. The crystal system is cubic.

=====

Record 8
Here is an optimized crystal structure of AcAlIn2 from the Alexandria database. Energies are from GGA-PBE.

```
AcAlIn2
1.0
4.7452 0.0000 0.0000
2.3726 4.1095 0.0000
2.3726 1.3698 5.8856
Ac Al In
1 1 2
Direct
0.0000 0.0000 0.0000
0.5000 0.5000 0.5000
0.7806 0.7806 0.6583
0.2194 0.2194 0.3417
```

Properties
For the total magnetization, the calculation gives 0.00 μB/cell. The total energy is -3.59 eV/atom. For the energy of formation from the pure elements, the calculation gives -263 meV/atom. The crystal system is trigonal.